First-principles (PBE) data for a relaxed Tm5CdGa3 crystal, as listed in Alexandria via LeMat-Bulk.

It has space group P6_3/mcm (No. 193), with a = 8.7925 Å, b = 8.7925 Å, c = 6.4248 Å, α = 90.00°, β = 90.00° and γ = 120.00°. The asymmetric unit holds Tm at (0.0000, 0.2977, 0.2500), Tm at (0.3333, 0.6667, 0.0000), Cd at (0.0000, 0.0000, 0.0000) and Ga at (0.0000, 0.3691, 0.7500).

The volume comes out at 23.90 A^3/atom. As for the formation energy from the elements: -456 meV/atom.

---

First-principles (PBE) data for a relaxed La8PIr3Cl3 crystal, as listed in Alexandria via LeMat-Bulk.

It has space group R-3m (No. 166, hexagonal axes), with a = 8.5134 Å, b = 8.5134 Å, c = 21.5945 Å, α = 90.00°, β = 90.00° and γ = 120.00°. The asymmetric unit holds La at (0.0000, 0.0000, 0.2381), La at (0.0108, 0.5054, 0.7615), P at (0.0000, 0.0000, 0.5000), Ir at (0.0000, 0.5000, 0.5000) and Cl at (0.0000, 0.5000, 0.0000).

For the uncorrected formation energy, the calculation gives -18.32 eV per formula unit. The volume comes out at 30.12 A^3/atom.

---

- Which formula does entry 1 have?
  Tm5CdGa3